[1]
TlPt2Br: relaxed, GGA-PBE.

Cell lengths 14.0800, 3.7005, 3.5251 Å; angles 90.00, 90.84, 90.00 degrees
Closest atoms and distances in Å follow each position.
Space group Cm (No. 8)
Asymmetric unit:
Tl (0.0000, 0.0000, 0.0000) [2 per cell]  8 Pt 2.84-2.93
Pt (0.1001, 0.5000, 0.4992) [2 per cell]  2 Br 2.65, 1 Pt 2.67, 4 Tl 2.90-2.93
Pt (0.4107, 0.0000, 0.4985) [2 per cell]  1 Br 2.48, 1 Pt 2.67
Br (0.2351, 0.0000, 0.5377) [2 per cell]  3 Pt 2.48-2.65

Excess energy over the best structure of this formula in the dataset in kcal/mol of atoms: 1.41
E_tot in eV/atom: -3.8947
Theoretical density in g cm⁻³: 12.2
Formation energy without anion corrections in eV per atom: 0.135

***

[2]
Tl3PtBr: relaxed, GGA-PBE.

Cell lengths 8.6676, 6.3718, 10.8138 Å; angles 90.00, 95.70, 90.00 degrees
Closest atoms and distances in Å follow each position.
Space group P2_1/c (No. 14)
Asymmetric unit:
Tl (0.0428, 0.1505, 0.1720) [4 per cell]  2 Pt 2.84-3.00
Tl (0.2355, 0.6800, 0.1145) [4 per cell]  2 Pt 2.86-2.89
Tl (0.4047, 0.5655, 0.8565) [4 per cell]  2 Br 3.21-3.50, 1 Pt 3.22, 4 Tl 3.30-3.48
Pt (0.0943, 0.1319, 0.4504) [4 per cell]  1 Br 2.62, 1 Pt 2.65, 3 Tl 2.84-2.89
Br (0.3013, 0.0892, 0.8996) [4 per cell]  1 Pt 2.62

Excess energy over the best structure of this formula in the dataset in kcal/mol of atoms: 4.57
E_tot in eV/atom: -3.1678
Theoretical density in g cm⁻³: 9.9
Formation energy without anion corrections in eV per atom: -0.205

***

[3]
Tl3PtBr7: relaxed, GGA-PBE.

Cell lengths 10.2008, 10.3527, 8.0308 Å; angles 90.00, 109.45, 90.00 degrees
Closest atoms and distances in Å follow each position.
Space group Cm (No. 8)
Asymmetric unit:
Tl (0.0000, 0.0000, 0.0000) [2 per cell]  2 Br 3.03-3.37
Tl (0.4690, 0.2393, 0.4957) [4 per cell]  5 Br 3.14-3.47
Pt (0.4950, 0.0000, 0.0196) [2 per cell]  6 Br 2.50-2.53
Br (0.0834, 0.0000, 0.3994) [2 per cell]  3 Tl 3.03-3.14
Br (0.1393, 0.5000, 0.8175) [2 per cell]  1 Pt 2.53
Br (0.1436, 0.3261, 0.2105) [4 per cell]  1 Pt 2.52
Br (0.3433, 0.1762, 0.8394) [4 per cell]  1 Pt 2.51
Br (0.3465, 0.0000, 0.2118) [2 per cell]  1 Pt 2.50

E_tot in eV/atom: -2.8299
Theoretical density in g cm⁻³: 5.7
Formation energy without anion corrections in eV per atom: -0.571

***

[4]
Tl4PtBr2: relaxed, GGA-PBE.

Cell lengths 5.3540, 5.3540, 17.3185 Å; angles 90.00, 90.00, 90.00 degrees
Closest atoms and distances in Å follow each position.
Space group I4/mmm (No. 139)
Asymmetric unit:
Tl (0.0000, 0.0000, 0.1635) [4 per cell]  1 Pt 2.83
Tl (0.0000, 0.5000, 0.0000) [4 per cell]  2 Pt 2.68
Pt (0.0000, 0.0000, 0.0000) [2 per cell]  6 Tl 2.68-2.83
Br (0.0000, 0.0000, 0.3541) [4 per cell]  5 Tl 3.30-3.68

E_tot in eV/atom: -3.1523
Theoretical density in g cm⁻³: 7.8
Formation energy without anion corrections in eV per atom: -0.459

***

[5]
TlPt2Br: relaxed, GGA-PBE.

Cell lengths 6.4592, 7.6886, 3.1557 Å; angles 90.00, 90.00, 90.00 degrees
Closest atoms and distances in Å follow each position.
Space group Cmmm (No. 65)
Asymmetric unit:
Tl (0.0000, 0.0000, 0.0000) [2 per cell]  8 Pt 2.97, 2 Tl 3.16, 2 Br 3.23
Pt (0.2500, 0.2500, 0.5000) [4 per cell]  4 Tl 2.97, 4 Br 2.97, 4 Pt 3.16-3.23
Br (0.0000, 0.5000, 0.0000) [2 per cell]  8 Pt 2.97, 2 Br 3.16, 2 Tl 3.23

Excess energy over the best structure of this formula in the dataset in kcal/mol of atoms: 9.91
E_tot in eV/atom: -3.5262
Theoretical density in g cm⁻³: 14.3
Formation energy without anion corrections in eV per atom: 0.504

***

[6]
Tl3PtBr: relaxed, GGA-PBE.

Cell lengths 5.3960, 5.3960, 5.3960 Å; angles 90.00, 90.00, 90.00 degrees
Closest atoms and distances in Å follow each position.
Space group Pm-3m (No. 221)
Asymmetric unit:
Tl (0.0000, 0.0000, 0.5000) [3 per cell]  2 Pt 2.70
Pt (0.0000, 0.0000, 0.0000) [1 per cell]  6 Tl 2.70
Br (0.5000, 0.5000, 0.5000) [1 per cell]  12 Tl 3.82

Excess energy over the best structure of this formula in the dataset in kcal/mol of atoms: 0.01
E_tot in eV/atom: -3.3655
Theoretical density in g cm⁻³: 9.4
Formation energy without anion corrections in eV per atom: -0.403

***

[7]
Tl6Pt3Br14: relaxed, GGA-PBE.

Cell lengths 11.4489, 11.4489, 7.6289 Å; angles 90.00, 90.00, 120.00 degrees
Closest atoms and distances in Å follow each position.
Space group P3 (No. 143)
Asymmetric unit:
Tl (0.0404, 0.5730, 0.0000) [3 per cell]  6 Br 3.21-3.47
Tl (0.2752, 0.0521, 0.5234) [3 per cell]  7 Br 3.31-3.53
Pt (0.0000, 0.0000, 0.9861) [1 per cell]  4 Br 2.51-2.56
Pt (0.3333, 0.6667, 0.4495) [1 per cell]  4 Br 2.49-2.56
Pt (0.6667, 0.3333, 0.3479) [1 per cell]  6 Br 2.51
Br (0.0000, 0.0000, 0.3148) [1 per cell]  1 Pt 2.51
Br (0.0402, 0.8336, 0.8092) [3 per cell]  1 Pt 2.56
Br (0.2026, 0.4525, 0.2657) [3 per cell]  1 Pt 2.56
Br (0.3333, 0.6667, 0.7761) [1 per cell]  1 Pt 2.49
Br (0.4631, 0.2024, 0.1563) [3 per cell]  1 Pt 2.51
Br (0.5266, 0.3960, 0.5366) [3 per cell]  1 Pt 2.51

E_tot in eV/atom: -2.8641
Theoretical density in g cm⁻³: 5.6
Formation energy without anion corrections in eV per atom: -0.441

***

[8]
TlPt2Br: relaxed, GGA-PBE.

Cell lengths 3.5472, 3.5472, 7.7231 Å; angles 90.00, 90.00, 90.00 degrees
Closest atoms and distances in Å follow each position.
Space group P4mm (No. 99)
Asymmetric unit:
Tl (0.0000, 0.0000, 0.0000) [1 per cell]  1 Pt 3.08, 4 Br 3.14
Pt (0.0000, 0.0000, 0.6010) [1 per cell]  4 Pt 2.60
Pt (0.5000, 0.5000, 0.6875) [1 per cell]  4 Pt 2.60
Br (0.5000, 0.5000, 0.2448) [1 per cell]  4 Tl 3.14, 1 Pt 3.42

Excess energy over the best structure of this formula in the dataset in kcal/mol of atoms: 2.90
E_tot in eV/atom: -3.8304
Theoretical density in g cm⁻³: 11.5
Formation energy without anion corrections in eV per atom: 0.200

***

[9]
TlPt2Br: relaxed, GGA-PBE.

Cell lengths 5.9264, 6.1889, 9.2550 Å; angles 90.00, 90.00, 90.00 degrees
Closest atoms and distances in Å follow each position.
Space group Fmmm (No. 69)
Asymmetric unit:
Tl (0.0000, 0.0000, 0.0000) [4 per cell]  4 Pt 2.78, 4 Br 2.96-3.09
Pt (0.0000, 0.2500, 0.2500) [8 per cell]  2 Tl 2.78, 2 Br 2.78, 4 Pt 2.96-3.09
Br (0.0000, 0.0000, 0.5000) [4 per cell]  4 Pt 2.78, 4 Tl 2.96-3.09

Excess energy over the best structure of this formula in the dataset in kcal/mol of atoms: 6.42
E_tot in eV/atom: -3.6775
Theoretical density in g cm⁻³: 13.2
Formation energy without anion corrections in eV per atom: 0.353

***

[10]
YTlPtBr2: relaxed, GGA-PBE.

Cell lengths 5.3684, 5.3684, 6.2615 Å; angles 90.00, 90.00, 90.00 degrees
Closest atoms and distances in Å follow each position.
Space group P4/mmm (No. 123)
Asymmetric unit:
Y (0.0000, 0.0000, 0.0000) [1 per cell]  2 Tl 3.13
Tl (0.0000, 0.0000, 0.5000) [1 per cell]  4 Br 2.68
Pt (0.5000, 0.5000, 0.0000) [1 per cell]  4 Y 3.80, 8 Br 4.12
Br (0.0000, 0.5000, 0.5000) [2 per cell]  2 Tl 2.68

E_tot in eV/atom: -3.0868
Theoretical density in g cm⁻³: 6.0
Formation energy without anion corrections in eV per atom: 0.557

***

[11]
Tl2ZnPtBr: relaxed, GGA-PBE.

Cell lengths 5.3946, 5.3946, 4.9313 Å; angles 90.00, 90.00, 90.00 degrees
Closest atoms and distances in Å follow each position.
Space group P4/mmm (No. 123)
Asymmetric unit:
Tl (0.0000, 0.5000, 0.0000) [2 per cell]  2 Pt 2.70
Zn (0.0000, 0.0000, 0.5000) [1 per cell]  2 Pt 2.47
Pt (0.0000, 0.0000, 0.0000) [1 per cell]  2 Zn 2.47, 4 Tl 2.70
Br (0.5000, 0.5000, 0.5000) [1 per cell]  8 Tl 3.65, 4 Zn 3.81

E_tot in eV/atom: -3.1117
Theoretical density in g cm⁻³: 8.7
Formation energy without anion corrections in eV per atom: -0.368

***

[12]
V2PtBr: relaxed, GGA-PBE.

Cell lengths 6.6976, 6.6976, 6.9254 Å; angles 90.00, 90.00, 90.00 degrees
Closest atoms and distances in Å follow each position.
Space group I-42d (No. 122)
Asymmetric unit:
V (0.2395, 0.2500, 0.1250) [8 per cell]  2 Pt 2.48, 2 Br 2.57
Pt (0.0000, 0.0000, 0.0000) [4 per cell]  4 V 2.48
Br (0.0000, 0.0000, 0.5000) [4 per cell]  4 V 2.57

Excess energy over the best structure of this formula in the dataset in kcal/mol of atoms: 2.48
E_tot in eV/atom: -6.0954
Theoretical density in g cm⁻³: 8.1
Formation energy without anion corrections in eV per atom: 0.392

***

[13]
V3PtBr: relaxed, GGA-PBE.

Cell lengths 4.8800, 4.8800, 4.8800 Å; angles 90.00, 90.00, 90.00 degrees
Closest atoms and distances in Å follow each position.
Space group Pm-3m (No. 221)
Asymmetric unit:
V (0.0000, 0.0000, 0.5000) [3 per cell]  2 Pt 2.44
Pt (0.0000, 0.0000, 0.0000) [1 per cell]  6 V 2.44
Br (0.5000, 0.5000, 0.5000) [1 per cell]  12 V 3.45

Excess energy over the best structure of this formula in the dataset in kcal/mol of atoms: 0.00
E_tot in eV/atom: -6.0907
Theoretical density in g cm⁻³: 6.1
Formation energy without anion corrections in eV per atom: 0.923

***

[14]
V2PtBr: relaxed, GGA-PBE.

Cell lengths 6.2605, 6.2605, 6.2605 Å; angles 90.00, 90.00, 90.00 degrees
Closest atoms and distances in Å follow each position.
Space group Fm-3m (No. 225)
Asymmetric unit:
V (0.2500, 0.2500, 0.2500) [8 per cell]  4 Br 2.71, 4 Pt 2.71
Pt (0.0000, 0.0000, 0.0000) [4 per cell]  8 V 2.71
Br (0.0000, 0.0000, 0.5000) [4 per cell]  8 V 2.71

Excess energy over the best structure of this formula in the dataset in kcal/mol of atoms: 0.00
E_tot in eV/atom: -6.2028
Theoretical density in g cm⁻³: 10.2
Formation energy without anion corrections in eV per atom: 0.285

***

[15]
V3PtBr: relaxed, GGA-PBE.

Cell lengths 4.4525, 4.4525, 4.4525 Å; angles 90.00, 90.00, 90.00 degrees
Closest atoms and distances in Å follow each position.
Space group Pm-3m (No. 221)
Asymmetric unit:
V (0.0000, 0.0000, 0.5000) [3 per cell]  2 Br 2.23
Pt (0.5000, 0.5000, 0.5000) [1 per cell]  12 V 3.15
Br (0.0000, 0.0000, 0.0000) [1 per cell]  6 V 2.23

Excess energy over the best structure of this formula in the dataset in kcal/mol of atoms: 0.19
E_tot in eV/atom: -6.0826
Theoretical density in g cm⁻³: 8.0
Formation energy without anion corrections in eV per atom: 0.931

***

[16]
PtWBr2: relaxed, GGA-PBE.

Cell lengths 3.9575, 3.1571, 8.0716 Å; angles 90.00, 104.02, 90.00 degrees
Closest atoms and distances in Å follow each position.
Space group Pm (No. 6)
Asymmetric unit:
Pt (0.0000, 0.0000, 0.0000) [1 per cell]  4 W 2.69
W (0.4433, 0.5000, 0.8853) [1 per cell]  3 Br 2.56-2.59, 4 Pt 2.69
Br (0.3166, 0.0000, 0.6285) [1 per cell]  2 W 2.56
Br (0.6070, 0.5000, 0.2166) [1 per cell]  1 W 2.59

Excess energy over the best structure of this formula in the dataset in kcal/mol of atoms: 0.00
E_tot in eV/atom: -5.4766
Theoretical density in g cm⁻³: 9.1
Formation energy without anion corrections in eV per atom: 0.108

***

[17]
PtWBr2: relaxed, GGA-PBE.

Cell lengths 3.0639, 4.5538, 5.4132 Å; angles 90.00, 94.13, 90.00 degrees
Closest atoms and distances in Å follow each position.
Space group P2/m (No. 10)
Asymmetric unit:
Pt (0.0000, 0.0000, 0.0000) [1 per cell]  4 Br 2.79, 2 W 3.01, 2 Pt 3.06
W (0.5000, 0.0000, 0.5000) [1 per cell]  4 Br 2.68
Br (0.2998, 0.5000, 0.2558) [2 per cell]  2 W 2.68, 2 Pt 2.79, 1 Br 2.83

Excess energy over the best structure of this formula in the dataset in kcal/mol of atoms: 18.54
E_tot in eV/atom: -4.6726
Theoretical density in g cm⁻³: 11.9
Formation energy without anion corrections in eV per atom: 0.912

***

[18]
PtWBr2: relaxed, GGA-PBE.

Cell lengths 2.9932, 4.5326, 5.6229 Å; angles 90.00, 90.00, 90.00 degrees
Closest atoms and distances in Å follow each position.
Space group Pmmm (No. 47)
Asymmetric unit:
Pt (0.0000, 0.0000, 0.0000) [1 per cell]  4 Br 2.72, 2 Pt 2.99
W (0.5000, 0.0000, 0.5000) [1 per cell]  4 Br 2.72, 2 W 2.99
Br (0.0000, 0.5000, 0.5000) [1 per cell]  4 W 2.72, 2 Br 2.99
Br (0.5000, 0.5000, 0.0000) [1 per cell]  4 Pt 2.72, 2 Br 2.99

Excess energy over the best structure of this formula in the dataset in kcal/mol of atoms: 21.21
E_tot in eV/atom: -4.5568
Theoretical density in g cm⁻³: 11.7
Formation energy without anion corrections in eV per atom: 1.028

***

[19]
PtWBr2: relaxed, GGA-PBE.

Cell lengths 4.7847, 4.7847, 6.7582 Å; angles 90.00, 90.00, 90.00 degrees
Closest atoms and distances in Å follow each position.
Space group I-4m2 (No. 119)
Asymmetric unit:
Pt (0.0000, 0.0000, 0.0000) [2 per cell]  4 W 2.93, 4 Br 2.93
W (0.0000, 0.5000, 0.7500) [2 per cell]  4 Br 2.93, 4 Pt 2.93
Br (0.0000, 0.0000, 0.5000) [2 per cell]  4 W 2.93, 4 Br 2.93
Br (0.0000, 0.5000, 0.2500) [2 per cell]  4 Br 2.93, 4 Pt 2.93

Excess energy over the best structure of this formula in the dataset in kcal/mol of atoms: 22.85
E_tot in eV/atom: -4.4858
Theoretical density in g cm⁻³: 11.6
Formation energy without anion corrections in eV per atom: 1.099

***

[20]
Pt2WBr: relaxed, GGA-PBE.

Cell lengths 2.8699, 2.9681, 8.5254 Å; angles 90.00, 90.06, 90.00 degrees
Closest atoms and distances in Å follow each position.
Space group P2/m (No. 10)
Asymmetric unit:
Pt (0.0008, 0.0000, 0.2097) [2 per cell]  4 W 2.73, 4 Pt 2.87-2.97, 2 Br 2.89
W (0.5000, 0.5000, 0.0000) [1 per cell]  8 Pt 2.73, 4 W 2.87-2.97
Br (0.0000, 0.5000, 0.5000) [1 per cell]  4 Br 2.87-2.97, 4 Pt 2.89

Excess energy over the best structure of this formula in the dataset in kcal/mol of atoms: 0.00
E_tot in eV/atom: -6.6254
Theoretical density in g cm⁻³: 15.0
Formation energy without anion corrections in eV per atom: 0.052